Entry 1:
MgSbAu2: optimized geometry, PBE.

POSCAR file:
```
MgSbAu2
1.0
4.396 0.000 0.000
0.000 4.396 0.000
0.000 0.000 4.174
Mg Sb Au
1 1 2
direct
0.000 0.000 0.000
0.500 0.500 0.000
0.000 0.500 0.500
0.500 0.000 0.500
```

Size of the total moment: 0.00 μB per cell
V: 81 Å³/f.u.
SG: P4/mmm, No. 123
Energy relative to the elements, uncorrected: -5.5 kcal/mol of atoms

***

Entry 2:
MgSbAu4: optimized geometry, PBE.

POSCAR file:
```
MgSbAu4
1.0
0.000 3.952 3.952
3.952 0.000 3.952
3.952 3.952 0.000
Mg Sb Au
1 1 4
direct
0.000 0.000 0.000
0.750 0.750 0.750
0.375 0.375 0.375
0.375 0.375 0.876
0.375 0.876 0.375
0.876 0.375 0.375
```

Size of the total moment: 0.00 μB per cell
V: 123 Å³/f.u.
SG: F-43m, No. 216
Energy relative to the elements, uncorrected: -2.7 kcal/mol of atoms

***

Entry 3:
MgSb2Au: optimized geometry, PBE.

POSCAR file:
```
MgSb2Au
1.0
4.339 0.000 0.000
0.000 4.021 0.000
-1.969 0.000 5.447
Mg Sb Au
1 2 1
direct
0.000 0.000 0.000
0.444 0.500 0.879
0.839 0.000 0.460
0.312 0.500 0.357
```

Size of the total moment: 0.00 μB per cell
V: 95 Å³/f.u.
SG: Pm, No. 6
Energy relative to the elements, uncorrected: -3.0 kcal/mol of atoms